Entry from Alexandria via LeMat-Bulk: a crystal of LiZrSe2 relaxed with PBEsol (SCAN).

Summary:
DOS at the Fermi energy in states/eV/atom: 0.388
Magnetic moment in Bohr magnetons per cell: 0.00
ΔE_f (raw) in eV/atom: -1.52

Cell lengths 3.680, 3.680, 6.615 Å; angles 90.00, 90.00, 120.00 degrees
Element x y z (fractional)
Zr 0.000 0.000 0.000
Se 0.333 0.667 0.254
Se 0.667 0.333 0.746
Li 0.000 0.000 0.500